Record 1
The following is a DFT calculation (PBE) of a geometry-optimized BeNi2 structure.

Cell and atoms, written as POSCAR:
```
BeNi2
1.0
-1.822 -3.729 -1.842
-4.304 0.053 -1.447
-0.902 -0.126 -4.449
Be Ni
2 4
Cartesian
0.000 0.000 0.000 Be
-1.757 -0.951 -1.934 Be
-3.942 -2.313 -2.612 Ni
-2.241 -2.403 -4.113 Ni
-3.481 -0.512 -3.915 Ni
-4.393 -2.376 -4.836 Ni
```

Output
* crystal system: cubic

Record 2
The following is a DFT calculation (PBE) of a geometry-optimized ZrCdB2 structure.

Cell and atoms, written as POSCAR:
```
ZrCdB2
1.0
2.576 -3.381 -1.058
-1.768 -3.914 -0.864
0.007 -1.550 -4.097
B Cd Zr
2 1 1
Cartesian
0.000 0.000 0.000 B
0.204 -2.211 -1.505 B
0.408 -4.423 -3.009 Cd
0.612 -6.634 -4.514 Zr
```

Output
* crystal system: cubic

Record 3
The following is a DFT calculation (PBE) of a geometry-optimized LuZrGa4Ir2 structure.

Cell and atoms, written as POSCAR:
```
LuZrGa4Ir2
1.0
-2.400 -3.383 0.912
5.235 -3.957 -0.895
2.366 2.151 4.332
Ga Ir Lu Zr
4 2 1 1
Cartesian
0.661 -2.746 1.447 Ga
2.786 -4.352 1.084 Ga
1.888 -0.440 3.348 Ga
5.064 -2.840 2.805 Ga
3.097 -1.789 1.522 Ir
-0.509 -1.419 3.296 Ir
2.390 -3.286 3.999 Lu
0.191 0.075 0.789 Zr
```

Output
* crystal system: orthorhombic

Record 4
The following is a DFT calculation (PBE) of a geometry-optimized Li4PtPb2Au structure.

Cell and atoms, written as POSCAR:
```
Li4PtPb2Au
1.0
-1.803 2.322 3.612
-1.066 -4.037 2.063
5.894 -0.039 2.967
Au Li Pb Pt
1 4 2 1
Cartesian
2.947 -0.020 1.484 Au
0.000 0.000 0.000 Li
0.919 -2.028 1.762 Li
1.513 -0.877 4.321 Li
3.541 1.131 4.043 Li
0.498 1.151 2.511 Pb
3.961 -2.048 3.294 Pb
-1.434 -0.858 2.837 Pt
```

Output
* crystal system: tetragonal

no.,electronic total energy (eV/cell)
1,-28.59
2,-17.33
3,-48.56
4,-27.86